No. 1
Material: RbPmPb
Method: DFT, GGA-PBE
State: optimized geometry

* energy of formation: -0.555 eV/f.u.

Geometry as CIF:
```
data_RbPmPb
_cell_length_a 5.782
_cell_length_b 5.782
_cell_length_c 8.256
_cell_angle_alpha 90.00
_cell_angle_beta 90.00
_cell_angle_gamma 90.00
_space_group_name_H-M_alt 'P 4/n m m'
_space_group_IT_number 129
loop_
_space_group_symop_operation_xyz
'x,y,z'
'-x,-y,-z'
'-y+1/2,x,z'
'y+1/2,-x,-z'
'-x+1/2,-y+1/2,z'
'x+1/2,y+1/2,-z'
'y,-x+1/2,z'
'-y,x+1/2,-z'
'x+1/2,-y,-z'
'-x+1/2,y,z'
'-y,-x,-z'
'y,x,z'
'-x,y+1/2,-z'
'x,-y+1/2,z'
'y+1/2,x+1/2,-z'
'-y+1/2,-x+1/2,z'
loop_
_atom_site_label
_atom_site_type_symbol
_atom_site_fract_x
_atom_site_fract_y
_atom_site_fract_z
_atom_site_occupancy
Rb1 Rb 0.250 0.750 0.000 1
Pm1 Pm 0.250 0.750 0.500 1
Pb1 Pb 0.250 0.250 0.326 1
```

=====

No. 2
Material: RbPm4Pb4
Method: DFT, GGA-PBE
State: optimized geometry

* energy of formation: -2.712 eV/f.u.

Geometry as CIF:
```
data_RbPm4Pb4
_cell_length_a 10.705
_cell_length_b 10.705
_cell_length_c 6.327
_cell_angle_alpha 90.00
_cell_angle_beta 90.00
_cell_angle_gamma 90.00
_space_group_name_H-M_alt 'P 42/n'
_space_group_IT_number 86
loop_
_space_group_symop_operation_xyz
'x,y,z'
'-x,-y,-z'
'-y,x+1/2,z+1/2'
'y,-x+1/2,-z+1/2'
'-x+1/2,-y+1/2,z'
'x+1/2,y+1/2,-z'
'y+1/2,-x,z+1/2'
'-y+1/2,x,-z+1/2'
loop_
_atom_site_label
_atom_site_type_symbol
_atom_site_fract_x
_atom_site_fract_y
_atom_site_fract_z
_atom_site_occupancy
Rb1 Rb 0.250 0.250 0.250 1
Pm1 Pm 0.119 0.626 0.151 1
Pb1 Pb 0.075 0.578 0.663 1
```

=====

No. 3
Material: Rb3Pm2PbSe6
Method: DFT, GGA-PBE
State: optimized geometry

* formation energy (no corrections): -132.05 kJ/mol of atoms

Geometry as CIF:
```
data_Rb3Pm2PbSe6
_cell_length_a 7.557
_cell_length_b 13.088
_cell_length_c 8.424
_cell_angle_alpha 90.00
_cell_angle_beta 107.38
_cell_angle_gamma 90.00
_space_group_name_H-M_alt 'C 1 2/m 1'
_space_group_IT_number 12
_space_group_name_Hall '-C 2y'
loop_
_atom_site_label
_atom_site_type_symbol
_atom_site_fract_x
_atom_site_fract_y
_atom_site_fract_z
_atom_site_occupancy
Rb1 Rb 0.000 0.000 0.000 1
Rb2 Rb 0.000 0.335 0.000 1
Pm1 Pm 0.000 0.167 0.500 1
Pb1 Pb 0.000 0.500 0.500 1
Se1 Se 0.228 0.000 0.701 1
Se2 Se 0.237 0.330 0.701 1
```

=====

No. 4
Material: RbPmTe3Pb
Method: DFT, GGA-PBE
State: optimized geometry

* formation energy (no corrections): -97.50 kJ/mol of atoms

Geometry as CIF:
```
data_RbPmTe3Pb
_cell_length_a 9.608
_cell_length_b 4.563
_cell_length_c 12.229
_cell_angle_alpha 90.00
_cell_angle_beta 108.20
_cell_angle_gamma 90.00
_space_group_name_H-M_alt 'P 1 21/m 1'
_space_group_IT_number 11
_space_group_name_Hall '-P 2yb'
loop_
_atom_site_label
_atom_site_type_symbol
_atom_site_fract_x
_atom_site_fract_y
_atom_site_fract_z
_atom_site_occupancy
Rb1 Rb 0.220 0.250 0.258 1
Pm1 Pm 0.362 0.750 0.846 1
Te1 Te 0.115 0.250 0.797 1
Te2 Te 0.358 0.750 0.581 1
Te3 Te 0.400 0.750 0.110 1
Pb1 Pb 0.141 0.250 0.561 1
```

=====

No. 5
Material: PmRh3Pb
Method: DFT, GGA-PBE
State: optimized geometry

* energy of formation: -1.548 eV/f.u.

Geometry as CIF:
```
data_PmRh3Pb
_cell_length_a 5.620
_cell_length_b 7.640
_cell_length_c 9.263
_cell_angle_alpha 90.00
_cell_angle_beta 90.00
_cell_angle_gamma 90.00
_space_group_name_H-M_alt 'I m m a'
_space_group_IT_number 74
_space_group_name_Hall '-I 2b 2'
loop_
_atom_site_label
_atom_site_type_symbol
_atom_site_fract_x
_atom_site_fract_y
_atom_site_fract_z
_atom_site_occupancy
Pm1 Pm 0.000 0.250 0.016 1
Rh1 Rh 0.000 0.250 0.717 1
Rh2 Rh 0.250 0.054 0.250 1
Pb1 Pb 0.000 0.000 0.500 1
```

=====

No. 6
Material: Pm2Rh2Pb3
Method: DFT, GGA-PBE
State: optimized geometry

* energy of formation: -3.138 eV/f.u.
* E above lowest polymorph: 0 meV/atom

Geometry as CIF:
```
data_Pm2Rh2Pb3
_cell_length_a 4.426
_cell_length_b 21.270
_cell_length_c 3.847
_cell_angle_alpha 90.00
_cell_angle_beta 90.00
_cell_angle_gamma 90.00
_space_group_name_H-M_alt 'C m m m'
_space_group_IT_number 65
_space_group_name_Hall '-C 2 2'
loop_
_atom_site_label
_atom_site_type_symbol
_atom_site_fract_x
_atom_site_fract_y
_atom_site_fract_z
_atom_site_occupancy
Pm1 Pm 0.000 0.178 0.000 1
Rh1 Rh 0.000 0.289 0.500 1
Pb1 Pb 0.000 0.000 0.000 1
Pb2 Pb 0.000 0.420 0.500 1
```

=====

No. 7
Material: Pm2Rh4Pb3
Method: DFT, GGA-PBE
State: optimized geometry

* energy of formation: -3.948 eV/f.u.

Geometry as CIF:
```
data_Pm2Rh4Pb3
_cell_length_a 6.202
_cell_length_b 17.280
_cell_length_c 7.259
_cell_angle_alpha 90.00
_cell_angle_beta 90.00
_cell_angle_gamma 90.00
_space_group_name_H-M_alt 'C m c e'
_space_group_IT_number 64
_space_group_name_Hall '-C 2ac 2'
loop_
_atom_site_label
_atom_site_type_symbol
_atom_site_fract_x
_atom_site_fract_y
_atom_site_fract_z
_atom_site_occupancy
Pm1 Pm 0.000 0.101 0.085 1
Rh1 Rh 0.000 0.161 0.468 1
Rh2 Rh 0.250 0.075 0.750 1
Pb1 Pb 0.000 0.000 0.500 1
Pb2 Pb 0.250 0.236 0.750 1
```

=====

No. 8
Material: Pm3Rh2Pb
Method: DFT, GGA-PBE
State: optimized geometry

* energy of formation: -3.782 eV/f.u.

Geometry as CIF:
```
data_Pm3Rh2Pb
_cell_length_a 3.513
_cell_length_b 3.513
_cell_length_c 11.959
_cell_angle_alpha 90.00
_cell_angle_beta 90.00
_cell_angle_gamma 90.00
_space_group_name_H-M_alt 'P 4/m m m'
_space_group_IT_number 123
_space_group_name_Hall '-P 4 2'
loop_
_atom_site_label
_atom_site_type_symbol
_atom_site_fract_x
_atom_site_fract_y
_atom_site_fract_z
_atom_site_occupancy
Pm1 Pm 0.000 0.000 0.000 1
Pm2 Pm 0.000 0.000 0.294 1
Rh1 Rh 0.500 0.500 0.150 1
Pb1 Pb 0.500 0.500 0.500 1
```

=====

No. 9
Material: Pm6Rh5Pb
Method: DFT, GGA-PBE
State: optimized geometry

* energy of formation: -7.193 eV/f.u.

Geometry as CIF:
```
data_Pm6Rh5Pb
_cell_length_a 5.012
_cell_length_b 7.327
_cell_length_c 7.925
_cell_angle_alpha 90.00
_cell_angle_beta 107.74
_cell_angle_gamma 90.00
_space_group_name_H-M_alt 'P 1 2/m 1'
_space_group_IT_number 10
_space_group_name_Hall '-P 2y'
loop_
_atom_site_label
_atom_site_type_symbol
_atom_site_fract_x
_atom_site_fract_y
_atom_site_fract_z
_atom_site_occupancy
Pm1 Pm 0.000 0.230 0.000 1
Pm2 Pm 0.325 0.244 0.652 1
Rh1 Rh 0.159 0.500 0.320 1
Rh2 Rh 0.166 0.000 0.333 1
Rh3 Rh 0.500 0.000 0.000 1
Pb1 Pb 0.500 0.500 0.000 1
```

=====

No. 10
Material: PmRh3Pb3
Method: DFT, GGA-PBE
State: optimized geometry

* energy of formation: -1.401 eV/f.u.
* E above lowest polymorph: 0 meV/atom

Geometry as CIF:
```
data_PmRh3Pb3
_cell_length_a 8.4364
_cell_length_b 8.4364
_cell_length_c 16.2846
_cell_angle_alpha 90.00
_cell_angle_beta 90.00
_cell_angle_gamma 120.00
_space_group_name_H-M_alt 'R -3'
_space_group_IT_number 148
_space_group_name_Hall '-R 3'
loop_
_atom_site_label
_atom_site_type_symbol
_atom_site_fract_x
_atom_site_fract_y
_atom_site_fract_z
_atom_site_occupancy
Pm1 Pm 0.0000 0.0000 0.1682 1
Rh1 Rh 0.0053 0.6441 0.4394 1
Pb1 Pb 0.0104 0.7188 0.6050 1
```

=====

No. 11
Material: PmRhPb2
Method: DFT, GGA-PBE
State: optimized geometry

* energy of formation: -1.684 eV/f.u.
* E above lowest polymorph: 2 meV/atom

Geometry as CIF:
```
data_PmRhPb2
_cell_length_a 4.718
_cell_length_b 4.718
_cell_length_c 17.935
_cell_angle_alpha 90.00
_cell_angle_beta 90.00
_cell_angle_gamma 90.00
_space_group_name_H-M_alt 'I 4/m m m'
_space_group_IT_number 139
_space_group_name_Hall '-I 4 2'
loop_
_atom_site_label
_atom_site_type_symbol
_atom_site_fract_x
_atom_site_fract_y
_atom_site_fract_z
_atom_site_occupancy
Pm1 Pm 0.000 0.000 0.141 1
Rh1 Rh 0.000 0.500 0.250 1
Pb1 Pb 0.000 0.000 0.343 1
Pb2 Pb 0.000 0.500 0.000 1
```

=====

No. 12
Material: Pm5Rh2Pb5
Method: DFT, GGA-PBE
State: optimized geometry

* energy of formation: -6.860 eV/f.u.

Geometry as CIF:
```
data_Pm5Rh2Pb5
_cell_length_a 16.275
_cell_length_b 4.687
_cell_length_c 10.778
_cell_angle_alpha 90.00
_cell_angle_beta 127.67
_cell_angle_gamma 90.00
_space_group_name_H-M_alt 'C 1 2/m 1'
_space_group_IT_number 12
_space_group_name_Hall '-C 2y'
loop_
_atom_site_label
_atom_site_type_symbol
_atom_site_fract_x
_atom_site_fract_y
_atom_site_fract_z
_atom_site_occupancy
Pm1 Pm 0.000 0.000 0.000 1
Pm2 Pm 0.141 0.000 0.851 1
Pm3 Pm 0.166 0.000 0.512 1
Rh1 Rh 0.151 0.500 0.054 1
Pb1 Pb 0.000 0.500 0.500 1
Pb2 Pb 0.051 0.500 0.247 1
Pb3 Pb 0.246 0.000 0.239 1
```

=====

Number 1: calculated total energy -3.3271 eV per atom. Number 2: calculated total energy -4.1684 eV per atom. Number 3: calculated total energy -4.4535 eV per atom. Number 4: calculated total energy -4.1524 eV per atom. Number 5: calculated total energy -6.4123 eV per atom. Number 6: calculated total energy -5.4953 eV per atom. Number 7: calculated total energy -5.9978 eV per atom. Number 8: calculated total energy -6.0741 eV per atom. Number 9: calculated total energy -6.3468 eV per atom. Number 10: calculated total energy -5.6186 eV per atom. Number 11: calculated total energy -5.3006 eV per atom. Number 12: calculated total energy -5.3215 eV per atom.